Entry 1:
The following is a DFT calculation (GGA-PBE) of SrSn3Pt after structural relaxation.

Cell: 5.830 5.830 5.830 Å, 90.00 90.00 90.00°
Fractional coordinates of all 5 atoms:
Sr: 0.000 0.000 0.000
Sn: 0.500 0.000 0.000
Sn: 0.000 0.000 0.500
Sn: 0.000 0.500 0.000
Pt: 0.500 0.500 0.500

Output
ΔH_f (0 K) (eV/atom): 1.416
E (eV for the cell shown): -12.651
N(E_F) (states/eV/f.u.): 4.9
V (A^3/atom): 39.6
Space group: Pm-3m



Entry 2:
The following is a DFT calculation (GGA-PBE) of Dy2ErNi after structural relaxation.

Cell: 3.442 3.442 8.560 Å, 90.00 90.00 90.00°
Fractional coordinates of all 4 atoms:
Er: 0.500 0.500 0.500
Dy: 0.000 0.000 0.189
Dy: 0.000 0.000 0.811
Ni: 0.500 0.500 0.000

Output
Relative energy among the computed polymorphs (eV per atom): 0.099
ΔH_f (0 K) (eV/atom): -0.155
E (eV for the cell shown): -20.170
N(E_F) (states/eV/f.u.): 6.0
V (A^3/atom): 25.3
Space group: P4/mmm



Entry 3:
The following is a DFT calculation (GGA-PBE) of Sr6TlCd2 after structural relaxation.

Cell: 9.858 9.858 9.858 Å, 107.06 109.67 111.72°
Fractional coordinates of all 18 atoms:
Sr: 0.192 0.749 0.941
Sr: 0.091 0.268 0.824
Sr: 0.556 0.732 0.824
Sr: 0.808 0.749 0.557
Sr: 0.909 0.732 0.176
Sr: 0.444 0.268 0.176
Sr: 0.711 0.043 0.332
Sr: 0.711 0.379 0.668
Sr: 0.808 0.251 0.059
Sr: 0.192 0.251 0.443
Sr: 0.289 0.621 0.332
Sr: 0.289 0.957 0.668
Tl: 0.000 0.000 0.000
Tl: 0.000 0.500 0.500
Cd: 0.500 0.374 0.874
Cd: 0.651 0.000 0.651
Cd: 0.500 0.626 0.126
Cd: 0.349 0.000 0.349

Output
ΔH_f (0 K) (eV/atom): -0.236
E (eV for the cell shown): -32.827
N(E_F) (states/eV/f.u.): 10.4
V (A^3/atom): 40.9
Space group: Immm